La6Tb2Zn: relaxed, PBE-GGA.

```
La6Tb2Zn
1.0
3.708 0.000 0.000
0.000 8.843 -4.072
0.000 -0.897 9.690
La Zn Tb
6 1 2
Direct
0.000 0.732 0.732
0.000 0.000 0.268
0.000 0.269 0.000
0.500 0.000 0.627
0.500 0.627 0.000
0.500 0.373 0.373
0.500 0.000 0.000
0.000 0.333 0.666
0.000 0.667 0.334
```

Properties
**Space group**: P-62m (189)
**ΔE_f**: -0.0437 eV per atom
**Calculated total energy**: -4.50 eV per atom
**Total magnetization**: 0.00 μB per cell

LaTb2Zn3: relaxed, PBE-GGA.

```
LaTb2Zn3
1.0
3.629 0.000 0.000
0.000 3.629 0.000
0.000 0.000 10.996
La Zn Tb
1 3 2
Direct
0.500 0.500 0.500
0.000 0.000 0.316
0.000 0.000 0.000
0.000 0.000 0.684
0.500 0.500 0.839
0.500 0.500 0.161
```

Properties
**Space group**: P4/mmm (123)
**ΔE_f**: -0.3224 eV per atom
**Calculated total energy**: -3.32 eV per atom
**Total magnetization**: 0.00 μB per cell

La3Tb2Zn2: relaxed, PBE-GGA.

```
La3Tb2Zn2
1.0
3.675 0.000 -0.443
0.000 3.651 0.000
0.019 0.000 15.607
La Zn Tb
3 2 2
Direct
0.000 0.000 0.000
0.588 0.500 0.176
0.412 0.500 0.824
0.151 0.000 0.302
0.849 0.000 0.698
0.298 0.500 0.595
0.702 0.500 0.405
```

Properties
**Space group**: Cmmm (65)
**ΔE_f**: -0.1090 eV per atom
**Calculated total energy**: -3.91 eV per atom
**Total magnetization**: 0.03 μB per cell

LaTbZn3: relaxed, PBE-GGA.

```
LaTbZn3
1.0
3.613 0.000 -0.497
0.000 4.618 0.000
0.069 0.000 13.873
Zn La Tb
6 2 2
Direct
0.476 0.250 0.952
0.622 0.750 0.244
0.324 0.750 0.648
0.524 0.750 0.048
0.676 0.250 0.352
0.378 0.250 0.756
0.926 0.750 0.852
0.074 0.250 0.148
0.210 0.750 0.419
0.790 0.250 0.581
```

Properties
**Space group**: Cmcm (63)
**ΔE_f**: -0.3264 eV per atom
**Calculated total energy**: -3.00 eV per atom
**Total magnetization**: 0.00 μB per cell

LaTb2Zn9: relaxed, PBE-GGA.

```
LaTb2Zn9
1.0
-4.873 2.346 -1.102
-3.830 0.395 3.955
0.278 8.602 3.261
Zn La Tb
9 1 2
Direct
0.413 0.413 0.250
0.335 0.335 0.994
0.923 0.413 0.250
0.500 0.500 0.500
0.413 0.923 0.250
0.587 0.587 0.750
0.587 0.077 0.750
0.665 0.665 0.006
0.077 0.587 0.750
0.000 0.000 0.000
0.142 0.142 0.575
0.858 0.858 0.425
```

Properties
**Space group**: R-3m (166)
**ΔE_f**: -0.3241 eV per atom
**Calculated total energy**: -2.46 eV per atom
**Total magnetization**: 0.00 μB per cell

LaTbZn: relaxed, PBE-GGA.

```
LaTbZn
1.0
5.083 0.000 0.000
0.000 7.108 0.000
0.000 0.000 10.078
La Zn Tb
4 4 4
Direct
0.250 0.973 0.399
0.250 0.527 0.899
0.750 0.473 0.101
0.750 0.027 0.601
0.250 0.221 0.131
0.750 0.779 0.869
0.250 0.279 0.631
0.750 0.721 0.369
0.250 0.022 0.871
0.750 0.978 0.129
0.250 0.478 0.371
0.750 0.522 0.629
```

Properties
**Space group**: Pnma (62)
**ΔE_f**: 0.0148 eV per atom
**Calculated total energy**: -3.60 eV per atom
**Total magnetization**: 0.00 μB per cell

LaTbZn: relaxed, PBE-GGA.

```
LaTbZn
1.0
-0.829 -3.561 0.523
2.895 -0.979 -2.075
2.575 2.176 5.854
Zn Tb La
1 1 1
Direct
0.677 0.677 0.354
0.305 0.305 0.611
0.018 0.018 0.035
```

Properties
**Space group**: I4mm (107)
**ΔE_f**: -0.1993 eV per atom
**Calculated total energy**: -3.81 eV per atom
**Total magnetization**: 0.35 μB per cell

La2Tb2Zn: relaxed, PBE-GGA.

```
La2Tb2Zn
1.0
3.598 0.000 -0.577
-0.093 3.597 -0.577
0.035 0.036 11.722
Tb La Zn
2 2 1
Direct
0.576 0.576 0.151
0.424 0.424 0.849
0.191 0.191 0.382
0.809 0.809 0.618
0.000 0.000 0.000
```

Properties
**Space group**: I4/mmm (139)
**ΔE_f**: -0.1241 eV per atom
**Calculated total energy**: -4.20 eV per atom
**Total magnetization**: 0.00 μB per cell

Look up the ΔE_f of the eighth one. -0.1241 eV per atom